Material: SiPHO2
Method: DFT, GGA-PBEsol
State: relaxed

Summary:
The value obtained for the electronic total energy is -5.656 eV per atom.

```
SiPHO2
1.0
-3.146 0.566 0.760
-0.095 -2.811 1.699
1.479 2.518 4.247
P Si O H
1 1 2 1
Direct
0.000 0.000 0.500
0.000 0.000 0.000
0.000 0.500 0.000
0.500 0.000 0.000
0.500 0.500 0.500
```

Material: CoGeMo3
Method: DFT, GGA-PBEsol
State: relaxed

Summary:
Its formation enthalpy at 0 K is 1.7645 eV/atom.

```
CoGeMo3
1.0
4.503 0.000 0.000
0.000 4.503 0.000
0.000 0.000 4.503
Mo Co Ge
3 1 1
Direct
0.000 0.500 0.000
0.000 0.000 0.500
0.500 0.000 0.000
0.500 0.500 0.500
0.000 0.000 0.000
```

no.,total moment (Bohr magnetons per cell),DOS at the Fermi energy (states/eV/f.u.)
1,0.00,2.01
2,1.52,7.89